First-principles (PBE) data for a relaxed Cr2TcMo crystal, as listed in the Alexandria database.

The formation enthalpy at 0 K comes out at 36 kJ/mol of formula units. For the energy above the most stable polymorph in this dataset, the calculation gives 0.037 eV per atom. As for the total energy: -10.017 eV per atom. The value obtained for the total magnetic moment is 0.0 Bohr magnetons per cell.

It has space group Immm (No. 71), with a = 3.024 Å, b = 4.287 Å, c = 8.388 Å, α = 90.00°, β = 90.00° and γ = 90.00°. The inequivalent atoms are Cr at (0.000, 0.000, 0.247), Tc at (0.000, 0.500, 0.000) and Mo at (0.000, 0.500, 0.500).